Entry 1:
# La4Sm7Ho | the Alexandria database | PBE | optimized geometry
data_La4Sm7Ho
_chemical_formula_sum 'La4 Sm7 Ho1'
_cell_length_a 3.658
_cell_length_b 3.658
_cell_length_c 35.910
_cell_angle_alpha 90.00
_cell_angle_beta 90.00
_cell_angle_gamma 120.00
_symmetry_space_group_name_H-M 'P 1'
_symmetry_Int_Tables_number 1
loop_
_symmetry_equiv_pos_as_xyz
'x,y,z'
loop_
_atom_site_label
_atom_site_type_symbol
_atom_site_fract_x
_atom_site_fract_y
_atom_site_fract_z
_atom_site_occupancy
La1 La 0.333 0.667 0.165 1
La2 La 0.333 0.667 0.416 1
La3 La 0.667 0.333 0.584 1
La4 La 0.667 0.333 0.835 1
Sm1 Sm 0.000 0.000 0.250 1
Sm2 Sm 0.000 0.000 0.500 1
Sm3 Sm 0.000 0.000 0.750 1
Sm4 Sm 0.333 0.667 0.668 1
Sm5 Sm 0.333 0.667 0.920 1
Sm6 Sm 0.667 0.333 0.080 1
Sm7 Sm 0.667 0.333 0.332 1
Ho1 Ho 0.000 0.000 0.000 1
# * offset from the most stable computed form: 0 meV per atom
# * symmetry: No. 164
# * energy of formation: 0.018 eV/atom
# * M_tot: 0.0 μB/f.u.

=====

Entry 2:
# LaSm8Ho2 | the Alexandria database | PBE | optimized geometry
data_LaSm8Ho2
_chemical_formula_sum 'La1 Sm8 Ho2'
_cell_length_a 10.351
_cell_length_b 10.351
_cell_length_c 5.632
_cell_angle_alpha 93.10
_cell_angle_beta 93.10
_cell_angle_gamma 39.90
_symmetry_space_group_name_H-M 'P 1'
_symmetry_Int_Tables_number 1
loop_
_symmetry_equiv_pos_as_xyz
'x,y,z'
loop_
_atom_site_label
_atom_site_type_symbol
_atom_site_fract_x
_atom_site_fract_y
_atom_site_fract_z
_atom_site_occupancy
La1 La 0.000 0.000 0.000 1
Sm1 Sm 0.134 0.597 0.269 1
Sm2 Sm 0.189 0.189 0.232 1
Sm3 Sm 0.403 0.866 0.731 1
Sm4 Sm 0.455 0.455 0.761 1
Sm5 Sm 0.545 0.545 0.239 1
Sm6 Sm 0.597 0.134 0.269 1
Sm7 Sm 0.811 0.811 0.768 1
Sm8 Sm 0.866 0.403 0.731 1
Ho1 Ho 0.285 0.285 0.748 1
Ho2 Ho 0.715 0.715 0.252 1
# * offset from the most stable computed form: 23 meV per atom
# * symmetry: No. 12
# * energy of formation: 0.136 eV/atom
# * M_tot: 0.0 μB/f.u.

=====

Entry 3:
# La2Sm3Ho4 | the Alexandria database | PBE | optimized geometry
data_La2Sm3Ho4
_chemical_formula_sum 'La2 Sm3 Ho4'
_cell_length_a 8.081
_cell_length_b 8.081
_cell_length_c 8.053
_cell_angle_alpha 107.42
_cell_angle_beta 107.42
_cell_angle_gamma 36.89
_symmetry_space_group_name_H-M 'P 1'
_symmetry_Int_Tables_number 1
loop_
_symmetry_equiv_pos_as_xyz
'x,y,z'
loop_
_atom_site_label
_atom_site_type_symbol
_atom_site_fract_x
_atom_site_fract_y
_atom_site_fract_z
_atom_site_occupancy
La1 La 0.166 0.166 0.000 1
La2 La 0.834 0.834 0.000 1
Sm1 Sm 0.389 0.389 0.337 1
Sm2 Sm 0.500 0.500 0.000 1
Sm3 Sm 0.611 0.611 0.663 1
Ho1 Ho 0.057 0.057 0.338 1
Ho2 Ho 0.278 0.278 0.662 1
Ho3 Ho 0.722 0.722 0.338 1
Ho4 Ho 0.943 0.943 0.662 1
# * offset from the most stable computed form: 0 meV per atom
# * symmetry: No. 12
# * energy of formation: 0.026 eV/atom
# * M_tot: 0.0 μB/f.u.

=====

Entry 4:
# La5SmHo | the Alexandria database | PBE | optimized geometry
data_La5SmHo
_chemical_formula_sum 'La10 Sm2 Ho2'
_cell_length_a 9.442
_cell_length_b 9.442
_cell_length_c 9.204
_cell_angle_alpha 93.82
_cell_angle_beta 93.82
_cell_angle_gamma 141.07
_symmetry_space_group_name_H-M 'P 1'
_symmetry_Int_Tables_number 1
loop_
_symmetry_equiv_pos_as_xyz
'x,y,z'
loop_
_atom_site_label
_atom_site_type_symbol
_atom_site_fract_x
_atom_site_fract_y
_atom_site_fract_z
_atom_site_occupancy
La1 La 0.019 0.390 0.648 1
La2 La 0.140 0.860 0.750 1
La3 La 0.240 0.544 0.035 1
La4 La 0.390 0.019 0.148 1
La5 La 0.456 0.760 0.465 1
La6 La 0.544 0.240 0.535 1
La7 La 0.610 0.981 0.852 1
La8 La 0.760 0.456 0.965 1
La9 La 0.860 0.140 0.250 1
La10 La 0.981 0.610 0.352 1
Sm1 Sm 0.000 0.000 0.000 1
Sm2 Sm 0.000 0.000 0.500 1
Ho1 Ho 0.490 0.510 0.750 1
Ho2 Ho 0.510 0.490 0.250 1
# * offset from the most stable computed form: 0 meV per atom
# * symmetry: No. 15
# * energy of formation: 0.158 eV/atom
# * M_tot: 0.0 μB/f.u.

=====

Entry 5:
# La6Sm4Ho | the Alexandria database | PBE | optimized geometry
data_La6Sm4Ho
_chemical_formula_sum 'La12 Sm8 Ho2'
_cell_length_a 5.779
_cell_length_b 5.779
_cell_length_c 26.273
_cell_angle_alpha 90.00
_cell_angle_beta 90.00
_cell_angle_gamma 117.39
_symmetry_space_group_name_H-M 'P 1'
_symmetry_Int_Tables_number 1
loop_
_symmetry_equiv_pos_as_xyz
'x,y,z'
loop_
_atom_site_label
_atom_site_type_symbol
_atom_site_fract_x
_atom_site_fract_y
_atom_site_fract_z
_atom_site_occupancy
La1 La 0.000 0.000 0.000 1
La2 La 0.000 0.000 0.500 1
La3 La 0.060 0.940 0.750 1
La4 La 0.294 0.706 0.103 1
La5 La 0.294 0.706 0.397 1
La6 La 0.385 0.615 0.683 1
La7 La 0.385 0.615 0.817 1
La8 La 0.615 0.385 0.183 1
La9 La 0.615 0.385 0.317 1
La10 La 0.706 0.294 0.603 1
La11 La 0.706 0.294 0.897 1
La12 La 0.940 0.060 0.250 1
Sm1 Sm 0.053 0.947 0.624 1
Sm2 Sm 0.053 0.947 0.876 1
Sm3 Sm 0.352 0.648 0.545 1
Sm4 Sm 0.352 0.648 0.955 1
Sm5 Sm 0.648 0.352 0.045 1
Sm6 Sm 0.648 0.352 0.455 1
Sm7 Sm 0.947 0.053 0.124 1
Sm8 Sm 0.947 0.053 0.376 1
Ho1 Ho 0.281 0.719 0.250 1
Ho2 Ho 0.719 0.281 0.750 1
# * offset from the most stable computed form: 0 meV per atom
# * symmetry: No. 63
# * energy of formation: 0.101 eV/atom
# * M_tot: 0.0 μB/f.u.

=====

Entry 6:
# LaSm3Ho7 | the Alexandria database | PBE | optimized geometry
data_LaSm3Ho7
_chemical_formula_sum 'La1 Sm3 Ho7'
_cell_length_a 6.978
_cell_length_b 5.552
_cell_length_c 9.976
_cell_angle_alpha 90.00
_cell_angle_beta 109.58
_cell_angle_gamma 90.00
_symmetry_space_group_name_H-M 'P 1'
_symmetry_Int_Tables_number 1
loop_
_symmetry_equiv_pos_as_xyz
'x,y,z'
loop_
_atom_site_label
_atom_site_type_symbol
_atom_site_fract_x
_atom_site_fract_y
_atom_site_fract_z
_atom_site_occupancy
La1 La 0.000 0.000 0.000 1
Sm1 Sm 0.281 0.500 0.498 1
Sm2 Sm 0.500 0.000 0.000 1
Sm3 Sm 0.719 0.500 0.502 1
Ho1 Ho 0.000 0.000 0.500 1
Ho2 Ho 0.145 0.500 0.788 1
Ho3 Ho 0.325 0.500 0.141 1
Ho4 Ho 0.422 0.000 0.331 1
Ho5 Ho 0.578 0.000 0.669 1
Ho6 Ho 0.675 0.500 0.859 1
Ho7 Ho 0.855 0.500 0.212 1
# * offset from the most stable computed form: 0 meV per atom
# * symmetry: No. 10
# * energy of formation: 0.146 eV/atom
# * M_tot: 0.0 μB/f.u.

=====

Entry 7:
# La2Sm7Ho2 | the Alexandria database | PBE | optimized geometry
data_La2Sm7Ho2
_chemical_formula_sum 'La2 Sm7 Ho2'
_cell_length_a 7.007
_cell_length_b 7.007
_cell_length_c 9.487
_cell_angle_alpha 90.00
_cell_angle_beta 90.00
_cell_angle_gamma 123.05
_symmetry_space_group_name_H-M 'P 1'
_symmetry_Int_Tables_number 1
loop_
_symmetry_equiv_pos_as_xyz
'x,y,z'
loop_
_atom_site_label
_atom_site_type_symbol
_atom_site_fract_x
_atom_site_fract_y
_atom_site_fract_z
_atom_site_occupancy
La1 La 0.250 0.250 0.000 1
La2 La 0.750 0.750 0.000 1
Sm1 Sm 0.000 0.000 0.322 1
Sm2 Sm 0.000 0.000 0.678 1
Sm3 Sm 0.000 0.500 0.185 1
Sm4 Sm 0.000 0.500 0.815 1
Sm5 Sm 0.500 0.000 0.185 1
Sm6 Sm 0.500 0.000 0.815 1
Sm7 Sm 0.500 0.500 0.500 1
Ho1 Ho 0.230 0.770 0.500 1
Ho2 Ho 0.770 0.230 0.500 1
# * offset from the most stable computed form: 156 meV per atom
# * symmetry: No. 65
# * energy of formation: 0.327 eV/atom
# * M_tot: 0.0 μB/f.u.

=====

Entry 8:
# La6SmHo3 | the Alexandria database | PBE | optimized geometry
data_La6SmHo3
_chemical_formula_sum 'La12 Sm2 Ho6'
_cell_length_a 7.815
_cell_length_b 9.486
_cell_length_c 12.292
_cell_angle_alpha 90.00
_cell_angle_beta 129.45
_cell_angle_gamma 90.00
_symmetry_space_group_name_H-M 'P 1'
_symmetry_Int_Tables_number 1
loop_
_symmetry_equiv_pos_as_xyz
'x,y,z'
loop_
_atom_site_label
_atom_site_type_symbol
_atom_site_fract_x
_atom_site_fract_y
_atom_site_fract_z
_atom_site_occupancy
La1 La 0.079 0.170 0.330 1
La2 La 0.079 0.330 0.830 1
La3 La 0.134 0.129 0.636 1
La4 La 0.134 0.371 0.136 1
La5 La 0.372 0.635 0.871 1
La6 La 0.372 0.865 0.371 1
La7 La 0.628 0.135 0.629 1
La8 La 0.628 0.365 0.129 1
La9 La 0.866 0.629 0.864 1
La10 La 0.866 0.871 0.364 1
La11 La 0.921 0.670 0.170 1
La12 La 0.921 0.830 0.670 1
Sm1 Sm 0.000 0.000 0.000 1
Sm2 Sm 0.000 0.500 0.500 1
Ho1 Ho 0.419 0.669 0.169 1
Ho2 Ho 0.419 0.831 0.669 1
Ho3 Ho 0.500 0.000 0.000 1
Ho4 Ho 0.500 0.500 0.500 1
Ho5 Ho 0.581 0.169 0.331 1
Ho6 Ho 0.581 0.331 0.831 1
# * offset from the most stable computed form: 3 meV per atom
# * symmetry: No. 14
# * energy of formation: 0.128 eV/atom
# * M_tot: 0.0 μB/f.u.